Compound: FeRe2Os
Source: the Alexandria database
Functional: GGA-PBE
Structure: optimized geometry

Structure (CIF):
```
data_FeRe2Os
_symmetry_space_group_name_H-M 'C 1 m 1'
_symmetry_Int_Tables_number 8
_cell_length_a 8.901
_cell_length_b 2.728
_cell_length_c 4.699
_cell_angle_alpha 90.00
_cell_angle_beta 99.79
_cell_angle_gamma 90.00
loop_
_symmetry_equiv_pos_as_xyz
'x,y,z'
'x,-y,z'
'x+1/2,y+1/2,z'
'x+1/2,-y+1/2,z'
loop_
_atom_site_label
_atom_site_fract_x
_atom_site_fract_y
_atom_site_fract_z
Fe1 0.000 0.000 0.000
Re1 0.252 0.000 0.766
Re2 0.499 0.000 0.493
Os1 0.251 0.500 0.250
```

Summary:
- Fermi-level density of states (states/eV per cell) = 7.9
- calculated volume (Å³/f.u.) = 56
- excess energy over the best structure of this formula in the dataset (eV/atom) = 0.0860
- total magnetic moment (μB/f.u.) = 1.67
- uncorrected energy (eV per atom) = -11.042
- formation enthalpy at 0 K (eV per atom) = 0.11

---

Compound: FeReOs2
Source: the Alexandria database
Functional: GGA-PBE
Structure: optimized geometry

Structure (CIF):
```
data_FeReOs2
_symmetry_space_group_name_H-M 'R 3 m'
_symmetry_Int_Tables_number 160
_symmetry_space_group_name_Hall 'R 3 -2"'
_cell_length_a 4.1184
_cell_length_b 4.1184
_cell_length_c 11.9326
_cell_angle_alpha 90.00
_cell_angle_beta 90.00
_cell_angle_gamma 120.00
loop_
_atom_site_label
_atom_site_fract_x
_atom_site_fract_y
_atom_site_fract_z
Fe1 0.0000 0.0000 0.0000
Re1 0.0000 0.0000 0.2126
Os1 0.0000 0.0000 0.4393
Os2 0.0000 0.0000 0.6593
```

Summary:
- Fermi-level density of states (states/eV per cell) = 11.7
- calculated volume (Å³/f.u.) = 58
- excess energy over the best structure of this formula in the dataset (eV/atom) = 0.3518
- total magnetic moment (μB/f.u.) = 1.06
- uncorrected energy (eV per atom) = -10.395
- formation enthalpy at 0 K (eV per atom) = 0.45

---

Compound: FeReOs
Source: the Alexandria database
Functional: GGA-PBE
Structure: optimized geometry

Structure (CIF):
```
data_FeReOs
_symmetry_space_group_name_H-M 'I 4 m m'
_symmetry_Int_Tables_number 107
_symmetry_space_group_name_Hall 'I 4 -2'
_cell_length_a 2.689
_cell_length_b 2.689
_cell_length_c 11.096
_cell_angle_alpha 90.00
_cell_angle_beta 90.00
_cell_angle_gamma 90.00
loop_
_atom_site_label
_atom_site_fract_x
_atom_site_fract_y
_atom_site_fract_z
Fe1 0.000 0.000 0.000
Re1 0.000 0.000 0.339
Os1 0.000 0.000 0.660
```

Summary:
- Fermi-level density of states (states/eV per cell) = 7.1
- calculated volume (Å³/f.u.) = 40
- excess energy over the best structure of this formula in the dataset (eV/atom) = 0.0529
- total magnetic moment (μB/f.u.) = 0.77
- uncorrected energy (eV per atom) = -10.586
- formation enthalpy at 0 K (eV per atom) = 0.13